This record from the Alexandria database describes crystalline BeCrAs2Pd at its relaxed geometry. The functional is PBE-GGA.

The structure in POSCAR format:
```
BeCrAs2Pd
1.0
-1.739 -3.552 2.577
4.401 -0.927 1.692
-0.753 2.972 3.589
Pd As Be Cr
1 2 1 1
Direct
0.000 0.000 0.000
0.500 0.000 0.000
0.000 0.000 0.500
0.500 0.500 0.500
0.000 0.500 0.000
```

This record from the Alexandria database describes crystalline CeNdThZn at its relaxed geometry. The functional is PBE-GGA.

The structure in POSCAR format:
```
CeNdThZn
1.0
-1.033 1.063 5.103
3.468 -1.426 3.765
2.813 3.709 2.563
Nd Zn Th Ce
1 1 1 1
Direct
0.750 0.750 0.750
0.000 0.000 0.000
0.250 0.250 0.250
0.500 0.500 0.500
```

AcPmRuI | the Alexandria database | PBE-GGA | optimized geometry; uncorrected formation energy = -0.632 eV per atom
1.0
-0.148 -0.357 4.200
-3.550 -0.304 -2.270
2.413 -7.988 -2.707
Ac Pm I Ru
1 1 1 1
Direct
0.515 0.155 0.686
0.094 0.946 0.055
0.958 0.378 0.350
0.310 0.553 0.878

TlCd9Hg2 | the Alexandria database | PBE-GGA | optimized geometry; E above lowest polymorph = 7 meV/atom
1.0
-3.171 -4.162 -1.214
2.747 -3.092 3.426
-6.304 2.634 7.434
Hg Cd Tl
2 9 1
Direct
0.000 0.000 0.337
0.000 0.000 0.663
0.000 0.500 0.176
0.500 0.000 0.500
0.000 0.500 0.824
0.500 0.000 0.176
0.500 0.500 0.665
0.500 0.000 0.824
0.500 0.500 0.335
0.500 0.500 0.000
0.000 0.500 0.500
0.000 0.000 0.000

This record from the Alexandria database describes crystalline U5Tc at its relaxed geometry. The functional is PBE-GGA.

The structure in POSCAR format:
```
U5Tc
1.0
-0.853 -1.326 2.568
4.755 0.430 1.801
-4.095 6.546 2.020
Tc U
1 5
Direct
0.000 0.000 0.000
0.500 0.167 0.333
0.000 0.660 0.320
0.500 0.500 0.000
0.000 0.340 0.680
0.500 0.833 0.667
```

This record from the Alexandria database describes crystalline SrGeBRh3 at its relaxed geometry. The functional is PBE-GGA.

The structure in POSCAR format:
```
SrGeBRh3
1.0
5.840 0.000 0.000
0.000 5.864 0.000
0.000 -2.932 6.138
B Sr Rh Ge
2 2 6 2
Direct
0.250 0.022 0.043
0.750 0.978 0.957
0.750 0.251 0.502
0.250 0.749 0.498
0.000 0.247 0.000
0.500 0.247 0.000
0.000 0.753 0.000
0.500 0.753 0.000
0.750 0.813 0.626
0.250 0.187 0.374
0.250 0.383 0.766
0.750 0.617 0.234
```

Li2CaRe | the Alexandria database | PBE-GGA | optimized geometry; E above lowest polymorph = 661 meV/atom
1.0
-2.181 1.915 -3.248
1.146 -3.238 -2.678
-8.413 -5.488 -0.507
Re Li Ca
2 4 2
Direct
0.750 0.250 0.500
0.000 0.000 0.000
0.875 0.125 0.250
0.875 0.625 0.250
0.875 0.125 0.750
0.375 0.125 0.750
0.500 0.500 0.000
0.250 0.750 0.500

Zn2CrIr | the Alexandria database | PBE-GGA | optimized geometry; E above lowest polymorph = 659 meV/atom
1.0
-4.907 3.821 -2.990
-3.887 -0.552 5.675
-3.345 3.706 2.264
Zn Cr Ir
4 2 2
Direct
0.623 0.125 0.250
0.875 0.873 0.750
0.375 0.377 0.750
0.127 0.625 0.250
0.500 0.500 0.000
0.250 0.750 0.500
0.750 0.250 0.500
0.000 0.000 0.000

This record from the Alexandria database describes crystalline Tb6Dy3Pu at its relaxed geometry. The functional is PBE-GGA.

The structure in POSCAR format:
```
Tb6Dy3Pu
1.0
5.469 0.000 -0.608
0.000 9.973 0.000
-1.588 0.000 12.067
Dy Tb Pu
6 12 2
Direct
0.000 0.000 0.500
0.555 0.832 0.140
0.945 0.332 0.360
0.445 0.168 0.860
0.055 0.668 0.640
0.500 0.500 0.000
0.640 0.500 0.762
0.360 0.500 0.238
0.443 0.832 0.858
0.140 0.000 0.262
0.057 0.332 0.642
0.860 0.000 0.738
0.000 0.315 0.000
0.943 0.668 0.358
0.557 0.168 0.142
0.500 0.815 0.500
0.500 0.185 0.500
0.000 0.685 0.000
0.000 0.000 0.000
0.500 0.500 0.500
```

This record from the Alexandria database describes crystalline NdHoTmLu at its relaxed geometry. The functional is PBE-GGA.

The structure in POSCAR format:
```
NdHoTmLu
1.0
5.639 0.000 0.000
2.819 4.883 0.000
2.819 1.628 4.604
Tm Ho Nd Lu
1 1 1 1
Direct
0.500 0.500 0.500
0.750 0.750 0.750
0.250 0.250 0.250
0.000 0.000 0.000
```

This record from the Alexandria database describes crystalline La2ZrReRh at its relaxed geometry. The functional is PBE-GGA.

The structure in POSCAR format:
```
La2ZrReRh
1.0
5.613 0.000 0.000
0.000 4.682 0.000
0.000 0.000 5.613
La Rh Re Zr
2 1 1 1
Direct
0.500 0.000 0.000
0.000 0.000 0.500
0.500 0.500 0.500
0.000 0.500 0.000
0.000 0.000 0.000
```

TaNb3Mo2 | the Alexandria database | PBE-GGA | optimized geometry; E above lowest polymorph = 0 meV/atom
1.0
4.341 0.000 -1.342
-0.233 7.008 -0.754
-0.150 -0.007 7.208
Mo Nb Ta
4 6 2
Direct
0.768 0.345 0.536
0.539 0.188 0.078
0.232 0.655 0.464
0.461 0.812 0.922
0.613 0.569 0.227
0.927 0.137 0.854
0.073 0.863 0.146
0.692 0.969 0.384
0.387 0.431 0.773
0.308 0.031 0.616
0.151 0.282 0.302
0.849 0.718 0.698

| no. | E_tot (eV/atom) | total magnetic moment (μB per cell) | D(E_F) (states/eV/atom) |
| --- | --- | --- | --- |
| 1 | -4.1334 | 0.31 | 1.27 |
| 2 | -4.7339 | 0.55 | 1.99 |
| 3 | -5.5528 | 0.00 | 0.57 |
| 4 | -0.8921 | 0.00 | 0.31 |
| 5 | -11.0639 | 0.00 | 2.40 |
| 6 | -6.3462 | 0.00 | 0.36 |
| 7 | -3.4358 | 3.50 | 1.24 |
| 8 | -4.6919 | 0.01 | 1.05 |
| 9 | -5.3566 | 11.29 | 1.60 |
| 10 | -4.4781 | 0.00 | 1.42 |
| 11 | -6.4132 | 0.08 | 1.06 |
| 12 | -10.5409 | 0.00 | 0.87 |